(1)
Density functional theory data (PBE) for a geometry-optimized LaNdBr5 structure.

abc: 8.1088 4.1849 13.7029
angles: 90.00 90.48 90.00
Positions (direct):
La  0.0778  0.2500  0.1600
La  0.9222  0.7500  0.8400
Nd  0.4229  0.7500  0.3440
Nd  0.5771  0.2500  0.6560
Br  0.0525  0.7500  0.3208
Br  0.1496  0.2500  0.9311
Br  0.3130  0.2500  0.4878
Br  0.3440  0.7500  0.7224
Br  0.3464  0.7500  0.1275
Br  0.6536  0.2500  0.8725
Br  0.6560  0.2500  0.2776
Br  0.6870  0.7500  0.5122
Br  0.8504  0.7500  0.0689
Br  0.9475  0.2500  0.6792

- raw total energy (eV per atom) = -4.4523
- D(E_F) (states/eV per atom) = 0.21
- total moment (μB per cell) = 1.9
- formation energy (no corrections) (meV per atom) = -1872

(2)
Density functional theory data (PBE) for a geometry-optimized MgAg8Pd6 structure.

abc: 7.0725 7.0725 7.0725
angles: 65.96 65.96 65.96
Positions (direct):
Mg  0.0000  0.0000  0.0000
Ag  0.1136  0.7846  0.4670
Ag  0.2154  0.5330  0.8864
Ag  0.3183  0.3183  0.3183
Ag  0.4670  0.1136  0.7846
Ag  0.5330  0.8864  0.2154
Ag  0.6817  0.6817  0.6817
Ag  0.7846  0.4670  0.1136
Ag  0.8864  0.2154  0.5330
Pd  0.0574  0.3657  0.7145
Pd  0.2855  0.9426  0.6343
Pd  0.3657  0.7145  0.0574
Pd  0.6343  0.2855  0.9426
Pd  0.7145  0.0574  0.3657
Pd  0.9426  0.6343  0.2855

- raw total energy (eV per atom) = -3.6898
- E_form (kJ/mol of formula units) = 21
- D(E_F) (states/eV per atom) = 0.11
- total moment (μB per cell) = 0.0

(3)
Density functional theory data (PBE) for a geometry-optimized VBiIr structure.

abc: 12.2005 3.3468 3.3468
angles: 59.93 90.00 90.00
Positions (direct):
V  0.1265  0.0000  0.0000
V  0.8735  0.0000  0.0000
Bi  0.3262  0.3352  0.3352
Bi  0.6738  0.3352  0.3352
Ir  0.0000  0.6668  0.6668
Ir  0.5000  0.6682  0.6682

- raw total energy (eV per atom) = -6.8540
- E_form (kJ/mol of formula units) = 125
- D(E_F) (states/eV per atom) = 1.05
- total moment (μB per cell) = 0.0

(4)
Density functional theory data (PBE) for a geometry-optimized Ag5TeS6 structure.

abc: 6.5884 6.5884 6.6551
angles: 100.50 100.50 118.55
Positions (direct):
Ag  0.0000  0.0000  0.0000
Ag  0.1715  0.8285  0.5000
Ag  0.3415  0.6585  0.0000
Ag  0.6585  0.3415  0.0000
Ag  0.8285  0.1715  0.5000
Te  0.5000  0.5000  0.5000
S  0.1088  0.4399  0.2332
S  0.2326  0.2326  0.7181
S  0.4399  0.1088  0.2332
S  0.5601  0.8912  0.7668
S  0.7674  0.7674  0.2819
S  0.8912  0.5601  0.7668

- raw total energy (eV per atom) = -3.4684
- D(E_F) (states/eV per atom) = 0.57
- total moment (μB per cell) = 0.0
- formation energy (no corrections) (meV per atom) = 45

(5)
Density functional theory data (PBE) for a geometry-optimized ErCu4Si3 structure.

abc: 4.0034 4.0034 7.5115
angles: 90.00 90.00 90.00
Positions (direct):
Er  0.0000  0.0000  0.0000
Cu  0.0000  0.5000  0.3236
Cu  0.0000  0.5000  0.6764
Cu  0.5000  0.0000  0.3236
Cu  0.5000  0.0000  0.6764
Si  0.0000  0.0000  0.5000
Si  0.5000  0.5000  0.1539
Si  0.5000  0.5000  0.8461

- raw total energy (eV per atom) = -5.0039
- D(E_F) (states/eV per atom) = 0.43
- total moment (μB per cell) = 0.0
- formation energy (no corrections) (meV per atom) = -352

(6)
Density functional theory data (PBE) for a geometry-optimized KGeCl4 structure.

abc: 6.4779 10.4099 6.6189
angles: 90.00 99.94 90.00
Positions (direct):
K  0.1717  0.2500  0.1589
K  0.8283  0.7500  0.8411
Ge  0.3211  0.7500  0.3466
Ge  0.6789  0.2500  0.6534
Cl  0.1492  0.5764  0.1661
Cl  0.1492  0.9236  0.1661
Cl  0.3146  0.7500  0.6998
Cl  0.3236  0.2500  0.6678
Cl  0.6764  0.7500  0.3322
Cl  0.6854  0.2500  0.3002
Cl  0.8508  0.0764  0.8339
Cl  0.8508  0.4236  0.8339

- raw total energy (eV per atom) = -3.3174
- D(E_F) (states/eV per atom) = 0.28
- total moment (μB per cell) = 0.0
- formation energy (no corrections) (meV per atom) = -1134

(7)
Density functional theory data (PBE) for a geometry-optimized In2Au3 structure.

abc: 9.0094 9.0094 9.0094
angles: 24.92 24.92 24.92
Positions (direct):
In  0.0977  0.0977  0.0977
In  0.9023  0.9023  0.9023
Au  0.3010  0.3010  0.3010
Au  0.5000  0.5000  0.5000
Au  0.6990  0.6990  0.6990

- raw total energy (eV per atom) = -3.1605
- E_form (kJ/mol of formula units) = -48
- D(E_F) (states/eV per atom) = 0.35
- total moment (μB per cell) = 0.0
- energy above the most stable polymorph in this dataset (eV per atom) = 0.0634

(8)
Density functional theory data (PBE) for a geometry-optimized MgHgRh structure.

abc: 5.5514 5.5514 5.5514
angles: 146.17 146.17 48.60
Positions (direct):
Mg  0.0000  0.0000  0.0000
Hg  0.3094  0.3094  0.0000
Rh  0.6371  0.6371  0.0000

- raw total energy (eV per atom) = -3.3160
- E_form (kJ/mol of formula units) = -68
- D(E_F) (states/eV per atom) = 0.34
- total moment (μB per cell) = 0.0
- energy above the most stable polymorph in this dataset (eV per atom) = 0.0210

(9)
Density functional theory data (PBE) for a geometry-optimized Ce4In5Pd2 structure.

abc: 7.9120 3.5713 10.0204
angles: 90.00 94.41 90.00
Positions (direct):
Ce  0.1694  0.0000  0.3652
Ce  0.2397  0.0000  0.9451
Ce  0.7603  0.0000  0.0549
Ce  0.8306  0.0000  0.6348
In  0.1866  0.5000  0.6577
In  0.4500  0.5000  0.1901
In  0.5000  0.5000  0.5000
In  0.5500  0.5000  0.8099
In  0.8134  0.5000  0.3423
Pd  0.0685  0.5000  0.1388
Pd  0.9315  0.5000  0.8612

- raw total energy (eV per atom) = -4.8464
- E_form (kJ/mol of formula units) = -530
- D(E_F) (states/eV per atom) = 2.16
- total moment (μB per cell) = 2.9

(10)
Density functional theory data (PBE) for a geometry-optimized Li2ThCu structure.

abc: 10.5062 10.5062 10.5062
angles: 17.32 17.32 17.32
Positions (direct):
Li  0.1038  0.1038  0.1038
Li  0.8962  0.8962  0.8962
Th  0.0000  0.0000  0.0000
Cu  0.5000  0.5000  0.5000

- raw total energy (eV per atom) = -3.5081
- E_form (kJ/mol of formula units) = 127
- D(E_F) (states/eV per atom) = 0.77
- total moment (μB per cell) = 0.0

(11)
Density functional theory data (PBE) for a geometry-optimized K3Tb2ThTe6 structure.

abc: 7.7869 7.7869 8.7131
angles: 98.57 98.57 120.00
Positions (direct):
K  0.0000  0.0000  0.0000
K  0.3340  0.6660  0.0000
K  0.6660  0.3340  0.0000
Tb  0.1667  0.8333  0.5000
Tb  0.8333  0.1667  0.5000
Th  0.5000  0.5000  0.5000
Te  0.0927  0.4289  0.2866
Te  0.2350  0.2350  0.7133
Te  0.4289  0.0927  0.2866
Te  0.5711  0.9073  0.7134
Te  0.7650  0.7650  0.2867
Te  0.9073  0.5711  0.7134

- raw total energy (eV per atom) = -4.5577
- D(E_F) (states/eV per atom) = 0.39
- total moment (μB per cell) = 0.0
- formation energy (no corrections) (meV per atom) = -1322

(12)
Density functional theory data (PBE) for a geometry-optimized Li5PrIn7 structure.

abc: 7.5025 7.5025 7.5025
angles: 133.92 99.06 98.56
Positions (direct):
Li  0.0000  0.0000  0.0000
Li  0.2726  0.2774  0.5043
Li  0.2726  0.7683  0.9952
Li  0.7731  0.2774  0.0048
Li  0.7731  0.7683  0.4957
Pr  0.7667  0.2667  0.5000
In  0.1044  0.2624  0.8420
In  0.1144  0.6144  0.5000
In  0.4204  0.2624  0.1580
In  0.4264  0.9264  0.5000
In  0.5465  0.5465  0.0000
In  0.5788  0.7826  0.7962
In  0.9864  0.7826  0.2038

- raw total energy (eV per atom) = -2.8904
- E_form (kJ/mol of formula units) = -392
- D(E_F) (states/eV per atom) = 0.40
- total moment (μB per cell) = 0.0

(13)
Density functional theory data (PBE) for a geometry-optimized Li6Nd3Au5 structure.

abc: 4.1536 13.2214 10.4855
angles: 90.00 90.00 90.00
Positions (direct):
Li  0.2500  0.0656  0.0746
Li  0.2500  0.2500  0.5197
Li  0.2500  0.2500  0.9235
Li  0.2500  0.4344  0.0746
Li  0.2500  0.5983  0.4928
Li  0.2500  0.9017  0.4928
Li  0.7500  0.0983  0.5072
Li  0.7500  0.4017  0.5072
Li  0.7500  0.5656  0.9254
Li  0.7500  0.7500  0.0765
Li  0.7500  0.7500  0.4803
Li  0.7500  0.9344  0.9254
Nd  0.2500  0.0583  0.7453
Nd  0.2500  0.4417  0.7453
Nd  0.2500  0.7500  0.7862
Nd  0.7500  0.2500  0.2138
Nd  0.7500  0.5583  0.2547
Nd  0.7500  0.9417  0.2547
Au  0.2500  0.0996  0.3421
Au  0.2500  0.4004  0.3421
Au  0.2500  0.6329  0.0511
Au  0.2500  0.7500  0.3017
Au  0.2500  0.8671  0.0511
Au  0.7500  0.1329  0.9489
Au  0.7500  0.2500  0.6983
Au  0.7500  0.3671  0.9489
Au  0.7500  0.5996  0.6579
Au  0.7500  0.9004  0.6579

- raw total energy (eV per atom) = -3.5437
- E_form (kJ/mol of formula units) = -718
- D(E_F) (states/eV per atom) = 0.54
- total moment (μB per cell) = 0.0

(14)
Density functional theory data (PBE) for a geometry-optimized Ba5TlN structure.

abc: 8.4978 8.4978 11.3526
angles: 108.48 108.48 55.52
Positions (direct):
Ba  0.0605  0.9395  0.7500
Ba  0.0760  0.6299  0.3999
Ba  0.1539  0.6099  0.9687
Ba  0.3701  0.9240  0.1001
Ba  0.3901  0.8461  0.5313
Ba  0.6099  0.1539  0.4687
Ba  0.6299  0.0760  0.8999
Ba  0.8461  0.3901  0.0313
Ba  0.9240  0.3701  0.6001
Ba  0.9395  0.0605  0.2500
Tl  0.4906  0.5094  0.2500
Tl  0.5094  0.4906  0.7500
N  0.0000  0.0000  0.0000
N  0.0000  0.0000  0.5000

- raw total energy (eV per atom) = -3.1444
- D(E_F) (states/eV per atom) = 0.73
- total moment (μB per cell) = 3.6
- formation energy (no corrections) (meV per atom) = -244

(15)
Density functional theory data (PBE) for a geometry-optimized TiNbB3 structure.

abc: 9.8129 9.8129 3.0944
angles: 90.00 90.00 160.80
Positions (direct):
Ti  0.0678  0.9322  0.7500
Ti  0.9322  0.0678  0.2500
Nb  0.2023  0.7977  0.2500
Nb  0.7977  0.2023  0.7500
B  0.3389  0.6611  0.2500
B  0.3872  0.6128  0.7500
B  0.4775  0.5225  0.7500
B  0.5225  0.4775  0.2500
B  0.6128  0.3872  0.2500
B  0.6611  0.3389  0.7500

- raw total energy (eV per atom) = -8.5308
- E_form (kJ/mol of formula units) = -449
- D(E_F) (states/eV per atom) = 0.14
- total moment (μB per cell) = 0.0
- energy above the most stable polymorph in this dataset (eV per atom) = 0.0000

(16)
Density functional theory data (PBE) for a geometry-optimized BeCrIr2 structure.

abc: 8.0226 8.0226 8.0226
angles: 19.50 19.50 19.50
Positions (direct):
Be  0.0000  0.0000  0.0000
Cr  0.5000  0.5000  0.5000
Ir  0.2539  0.2539  0.2539
Ir  0.7461  0.7461  0.7461

- raw total energy (eV per atom) = -7.9311
- E_form (kJ/mol of formula units) = -63
- D(E_F) (states/eV per atom) = 1.23
- total moment (μB per cell) = 0.0

(17)
Density functional theory data (PBE) for a geometry-optimized LiCu3Tc structure.

abc: 4.6911 4.6911 4.6911
angles: 90.00 90.00 90.00
Positions (direct):
Li  0.0000  0.0000  0.0000
Cu  0.0000  0.5000  0.5000
Cu  0.5000  0.0000  0.5000
Cu  0.5000  0.5000  0.0000
Tc  0.5000  0.5000  0.5000

- raw total energy (eV per atom) = -3.8151
- E_form (kJ/mol of formula units) = 530
- D(E_F) (states/eV per atom) = 0.87
- total moment (μB per cell) = 1.5
- energy above the most stable polymorph in this dataset (eV per atom) = 0.3045

(18)
Density functional theory data (PBE) for a geometry-optimized Er3Tm4Pb2 structure.

abc: 9.1986 9.1986 6.4449
angles: 93.98 93.98 92.22
Positions (direct):
Er  0.0288  0.9712  0.7500
Er  0.3261  0.4490  0.3978
Er  0.4490  0.3261  0.8978
Er  0.5510  0.6739  0.1022
Er  0.6739  0.5510  0.6022
Er  0.9712  0.0288  0.2500
Tm  0.0199  0.6703  0.4232
Tm  0.1894  0.6134  0.9189
Tm  0.3297  0.9801  0.0768
Tm  0.3866  0.8106  0.5811
Tm  0.6134  0.1894  0.4189
Tm  0.6703  0.0199  0.9232
Tm  0.8106  0.3866  0.0811
Tm  0.9801  0.3297  0.5768
Pb  0.1237  0.2840  0.0446
Pb  0.2840  0.1237  0.5446
Pb  0.7160  0.8763  0.4554
Pb  0.8763  0.7160  0.9554

- raw total energy (eV per atom) = -4.4838
- E_form (kJ/mol of formula units) = -132
- D(E_F) (states/eV per atom) = 1.15
- total moment (μB per cell) = 0.0
- energy above the most stable polymorph in this dataset (eV per atom) = 0.0566

(19)
Density functional theory data (PBE) for a geometry-optimized PmErAlPd structure.

abc: 5.1047 5.1047 5.1047
angles: 60.00 60.00 60.00
Positions (direct):
Pm  0.0000  0.0000  0.0000
Er  0.5000  0.5000  0.5000
Al  0.2500  0.2500  0.2500
Pd  0.7500  0.7500  0.7500

- raw total energy (eV per atom) = -5.1018
- E_form (kJ/mol of formula units) = -208
- D(E_F) (states/eV per atom) = 0.83
- total moment (μB per cell) = 0.0
- energy above the most stable polymorph in this dataset (eV per atom) = 0.0515

(20)
Density functional theory data (PBE) for a geometry-optimized NaNpAl4 structure.

abc: 5.5599 5.5599 5.5599
angles: 60.00 60.00 60.00
Positions (direct):
Na  0.0000  0.0000  0.0000
Np  0.7500  0.7500  0.7500
Al  0.3759  0.3759  0.3759
Al  0.3759  0.3759  0.8724
Al  0.3759  0.8724  0.3759
Al  0.8724  0.3759  0.3759

- raw total energy (eV per atom) = -4.8000
- E_form (kJ/mol of formula units) = 41
- D(E_F) (states/eV per atom) = 2.20
- total moment (μB per cell) = 4.4